#i
Compound: YPuC
Source: Alexandria via LeMat-Bulk
Functional: GGA-PBE
Structure: optimized geometry

```
data_YPuC
_space_group_name_H-M_alt 'P 3 m 1'
_space_group_IT_number 156
_cell_length_a 3.4795
_cell_length_b 3.4795
_cell_length_c 6.2844
_cell_angle_alpha 90.00
_cell_angle_beta 90.00
_cell_angle_gamma 120.00
loop_
_space_group_symop_operation_xyz
'x,y,z'
'-y,x-y,z'
'-x+y,-x,z'
'-y,-x,z'
'-x+y,y,z'
'x,x-y,z'
loop_
_atom_site_label
_atom_site_fract_x
_atom_site_fract_y
_atom_site_fract_z
Y1 0.0000 0.0000 0.0000
Pu1 0.6667 0.3333 0.4483
C1 0.3333 0.6667 0.2301
```

Results
As for the crystal system: trigonal. The calculation puts the total magnetization at 5.55 μB/cell. The density comes out at 8.69 g cm⁻³.

#ii
Compound: YPuC
Source: Alexandria via LeMat-Bulk
Functional: GGA-PBE
Structure: optimized geometry

```
data_YPuC
_space_group_name_H-M_alt 'F -4 3 m'
_space_group_IT_number 216
_space_group_name_Hall 'F -4 2 3'
_cell_length_a 6.146
_cell_length_b 6.146
_cell_length_c 6.146
_cell_angle_alpha 90.00
_cell_angle_beta 90.00
_cell_angle_gamma 90.00
loop_
_atom_site_label
_atom_site_fract_x
_atom_site_fract_y
_atom_site_fract_z
Y1 0.000 0.000 0.000
Pu1 0.000 0.000 0.500
C1 0.250 0.250 0.750
```

Results
As for the crystal system: cubic. The calculation puts the total magnetization at 23.09 μB/cell. The density comes out at 9.87 g cm⁻³.

#iii
Compound: YPuC
Source: Alexandria via LeMat-Bulk
Functional: GGA-PBE
Structure: optimized geometry

```
data_YPuC
_space_group_name_H-M_alt 'F d d d'
_space_group_IT_number 70
_cell_length_a 8.456
_cell_length_b 9.682
_cell_length_c 12.065
_cell_angle_alpha 90.00
_cell_angle_beta 90.00
_cell_angle_gamma 90.00
loop_
_space_group_symop_operation_xyz
'x,y,z'
'-x,-y,-z'
'-x+1/4,-y+1/4,z'
'x+1/4,y+1/4,-z'
'x,-y+1/4,-z+1/4'
'-x,y+1/4,z+1/4'
'-x+1/4,y,-z+1/4'
'x+1/4,-y,z+1/4'
'x,y+1/2,z+1/2'
'-x,-y+1/2,-z+1/2'
'-x+1/4,-y+3/4,z+1/2'
'x+1/4,y+3/4,-z+1/2'
'x,-y+3/4,-z+3/4'
'-x,y+3/4,z+3/4'
'-x+1/4,y+1/2,-z+3/4'
'x+1/4,-y+1/2,z+3/4'
'x+1/2,y,z+1/2'
'-x+1/2,-y,-z+1/2'
'-x+3/4,-y+1/4,z+1/2'
'x+3/4,y+1/4,-z+1/2'
'x+1/2,-y+1/4,-z+3/4'
'-x+1/2,y+1/4,z+3/4'
'-x+3/4,y,-z+3/4'
'x+3/4,-y,z+3/4'
'x+1/2,y+1/2,z'
'-x+1/2,-y+1/2,-z'
'-x+3/4,-y+3/4,z'
'x+3/4,y+3/4,-z'
'x+1/2,-y+3/4,-z+1/4'
'-x+1/2,y+3/4,z+1/4'
'-x+3/4,y+1/2,-z+1/4'
'x+3/4,-y+1/2,z+1/4'
loop_
_atom_site_label
_atom_site_fract_x
_atom_site_fract_y
_atom_site_fract_z
Y1 0.125 0.125 0.260
Pu1 0.000 0.000 0.500
C1 0.125 0.331 0.125
```

Results
As for the crystal system: orthorhombic. The calculation puts the total magnetization at 96.09 μB/cell. The density comes out at 9.28 g cm⁻³.

On energetic grounds, #i is preferred over the next structure by 219 meV/atom.

#i
Compound: Pu2ZnC
Source: Alexandria via LeMat-Bulk
Functional: GGA-PBE
Structure: optimized geometry

```
data_Pu2ZnC
_space_group_name_H-M_alt 'P 4/m m m'
_space_group_IT_number 123
_space_group_name_Hall '-P 4 2'
_cell_length_a 3.107
_cell_length_b 3.107
_cell_length_c 7.408
_cell_angle_alpha 90.00
_cell_angle_beta 90.00
_cell_angle_gamma 90.00
loop_
_atom_site_label
_atom_site_fract_x
_atom_site_fract_y
_atom_site_fract_z
Pu1 0.000 0.000 0.187
Zn1 0.500 0.500 0.500
C1 0.500 0.500 0.000
```

Results
As for the crystal system: tetragonal. The calculation puts the total magnetization at 10.26 μB/cell. The density comes out at 13.13 g cm⁻³.

#ii
Compound: Pu2ZnC
Source: Alexandria via LeMat-Bulk
Functional: GGA-PBE
Structure: optimized geometry

```
data_Pu2ZnC
_space_group_name_H-M_alt 'R -3 m'
_space_group_IT_number 166
_space_group_name_Hall '-R 3 2"'
_cell_length_a 3.2908
_cell_length_b 3.2908
_cell_length_c 27.7988
_cell_angle_alpha 90.00
_cell_angle_beta 90.00
_cell_angle_gamma 120.00
loop_
_atom_site_label
_atom_site_fract_x
_atom_site_fract_y
_atom_site_fract_z
Pu1 0.0000 0.0000 0.1135
Zn1 0.0000 0.0000 0.0000
C1 0.0000 0.0000 0.5000
```

Results
As for the crystal system: trigonal. The calculation puts the total magnetization at 32.79 μB/cell. The density comes out at 10.80 g cm⁻³.

On energetic grounds, #i is preferred over the next structure by 93 meV/atom.

#i
Compound: PuZrC2
Source: Alexandria via LeMat-Bulk
Functional: GGA-PBE
Structure: optimized geometry

```
data_PuZrC2
_space_group_name_H-M_alt 'C 1 2/m 1'
_space_group_IT_number 12
_cell_length_a 5.792
_cell_length_b 3.389
_cell_length_c 6.037
_cell_angle_alpha 90.00
_cell_angle_beta 96.58
_cell_angle_gamma 90.00
loop_
_space_group_symop_operation_xyz
'x,y,z'
'-x,-y,-z'
'-x,y,-z'
'x,-y,z'
'x+1/2,y+1/2,z'
'-x+1/2,-y+1/2,-z'
'-x+1/2,y+1/2,-z'
'x+1/2,-y+1/2,z'
loop_
_atom_site_label
_atom_site_fract_x
_atom_site_fract_y
_atom_site_fract_z
Pu1 0.000 0.000 0.000
Zr1 0.000 0.000 0.500
C1 0.184 0.500 0.738
```

Results
As for the crystal system: monoclinic. The calculation puts the total magnetization at 8.38 μB/cell. The density comes out at 10.14 g cm⁻³.

#ii
Compound: PuZrC2
Source: Alexandria via LeMat-Bulk
Functional: GGA-PBE
Structure: optimized geometry

```
data_PuZrC2
_space_group_name_H-M_alt 'R -3 m'
_space_group_IT_number 166
_space_group_name_Hall '-R 3 2"'
_cell_length_a 3.4108
_cell_length_b 3.4108
_cell_length_c 17.0312
_cell_angle_alpha 90.00
_cell_angle_beta 90.00
_cell_angle_gamma 120.00
loop_
_atom_site_label
_atom_site_fract_x
_atom_site_fract_y
_atom_site_fract_z
Pu1 0.0000 0.0000 0.0000
Zr1 0.0000 0.0000 0.5000
C1 0.0000 0.0000 0.2483
```

Results
As for the crystal system: trigonal. The calculation puts the total magnetization at 11.46 μB/cell. The density comes out at 10.43 g cm⁻³.

On energetic grounds, #ii is preferred over the next structure by 414 meV/atom.

#i
Compound: RbC5
Source: Alexandria via LeMat-Bulk
Functional: GGA-PBE
Structure: optimized geometry

```
data_RbC5
_space_group_name_H-M_alt 'C 1 m 1'
_space_group_IT_number 8
_cell_length_a 11.115
_cell_length_b 2.581
_cell_length_c 5.732
_cell_angle_alpha 90.00
_cell_angle_beta 109.62
_cell_angle_gamma 90.00
loop_
_space_group_symop_operation_xyz
'x,y,z'
'x,-y,z'
'x+1/2,y+1/2,z'
'x+1/2,-y+1/2,z'
loop_
_atom_site_label
_atom_site_fract_x
_atom_site_fract_y
_atom_site_fract_z
Rb1 0.000 0.000 0.000
C1 0.065 0.000 0.536
C2 0.132 0.500 0.543
C3 0.257 0.500 0.520
C4 0.315 0.000 0.489
C5 0.417 0.000 0.393
```

Results
As for the crystal system: monoclinic. The calculation puts the total magnetization at 0.00 μB/cell. The density comes out at 3.12 g cm⁻³.

#ii
Compound: RbC5
Source: Alexandria via LeMat-Bulk
Functional: GGA-PBE
Structure: optimized geometry

```
data_RbC5
_space_group_name_H-M_alt 'F -4 3 m'
_space_group_IT_number 216
_space_group_name_Hall 'F -4 2 3'
_cell_length_a 7.221
_cell_length_b 7.221
_cell_length_c 7.221
_cell_angle_alpha 90.00
_cell_angle_beta 90.00
_cell_angle_gamma 90.00
loop_
_atom_site_label
_atom_site_fract_x
_atom_site_fract_y
_atom_site_fract_z
Rb1 0.000 0.000 0.000
C1 0.076 0.076 0.424
C2 0.250 0.250 0.750
```

Results
As for the crystal system: cubic. The calculation puts the total magnetization at 4.00 μB/cell. The density comes out at 2.57 g cm⁻³.

On energetic grounds, #i is preferred over the next structure by 2098 meV/atom.